1.
The following is a GGA-PBEsol calculation of MgFe3 after structural relaxation, from the Alexandria database.

The space group is P4/mmm (No. 123) and the conventional cell measures 2.9516, 2.9516 and 5.9318 Å, with angles of 90.00, 90.00 and 90.00 degrees. Symmetry generates all atoms from Mg at (0.0000, 0.0000, 0.0000), Fe at (0.0000, 0.0000, 0.5000) and Fe at (0.5000, 0.5000, 0.2943).

As for the energy: -6.922 eV/atom. For the formation energy, the calculation gives 0.230 eV per atom. The value obtained for the size of the total moment is 6.8 μB/f.u.

=====

2.
The following is a GGA-PBEsol calculation of Mg3Fe2 after structural relaxation, from the Alexandria database.

The space group is P-3m1 (No. 164) and the conventional cell measures 4.3256, 4.3256 and 5.5071 Å, with angles of 90.00, 90.00 and 120.00 degrees. Symmetry generates all atoms from Mg at (0.0000, 0.0000, 0.0000), Mg at (0.3333, 0.6667, 0.3631) and Fe at (0.3333, 0.6667, 0.9045).

As for the energy: -4.203 eV/atom. For the formation energy, the calculation gives 0.413 eV per atom. The value obtained for the size of the total moment is 4.3 μB/f.u.

=====

3.
The following is a GGA-PBEsol calculation of MgFe3 after structural relaxation, from the Alexandria database.

The space group is Fm-3m (No. 225) and the conventional cell measures 5.8325, 5.8325 and 5.8325 Å, with angles of 90.00, 90.00 and 90.00 degrees. Symmetry generates all atoms from Mg at (0.0000, 0.0000, 0.0000), Fe at (0.0000, 0.0000, 0.5000) and Fe at (0.2500, 0.2500, 0.2500).

As for the energy: -6.867 eV/atom. For the formation energy, the calculation gives 0.285 eV per atom. The value obtained for the size of the total moment is 6.9 μB/f.u.

=====

4.
The following is a GGA-PBEsol calculation of Mg3Fe after structural relaxation, from the Alexandria database.

The space group is P4/mmm (No. 123) and the conventional cell measures 2.9183, 2.9183 and 8.5627 Å, with angles of 90.00, 90.00 and 90.00 degrees. Symmetry generates all atoms from Mg at (0.0000, 0.0000, 0.0000), Mg at (0.5000, 0.5000, 0.2907) and Fe at (0.0000, 0.0000, 0.5000).

As for the energy: -3.319 eV/atom. For the formation energy, the calculation gives 0.210 eV per atom. The value obtained for the size of the total moment is 2.3 μB/f.u.